No. 1
Gd3CuSnS7 | GGA-PBE | relaxed

Lattice parameters (Å, degrees): 9.8582 9.8582 6.2762 90.00 90.00 120.00
Last column: nearest neighbours and their distance in Å.
Element x y z (fractional)
1 S 0.8525 0.7405 0.6931  1 Cu 2.23
2 S 0.9169 0.4810 0.0148  1 Sn 2.42
3 S 0.5190 0.4360 0.0148  1 Sn 2.42
4 S 0.3333 0.6667 0.9541  1 Sn 2.40
5 S 0.5641 0.0831 0.0148  1 Sn 2.42
6 S 0.1119 0.8525 0.1931  1 Cu 2.23
7 S 0.8881 0.1475 0.6931  1 Cu 2.23
8 S 0.0831 0.5190 0.5148  1 Sn 2.42
9 S 0.4810 0.5641 0.5148  1 Sn 2.42
10 S 0.7405 0.8881 0.1931  1 Cu 2.23
11 S 0.1475 0.2595 0.1931  1 Cu 2.23
12 S 0.4360 0.9169 0.5148  1 Sn 2.42
13 S 0.6667 0.3333 0.4541  1 Sn 2.40
14 S 0.2595 0.1119 0.6931  1 Cu 2.23
15 Gd 0.8519 0.2113 0.2699  6 S 2.75-2.94
16 Gd 0.1481 0.7887 0.7699  6 S 2.75-2.94
17 Gd 0.6405 0.8519 0.7699  6 S 2.75-2.94
18 Gd 0.7887 0.6405 0.2699  6 S 2.75-2.94
19 Gd 0.2113 0.3595 0.7699  6 S 2.75-2.94
20 Gd 0.3595 0.1481 0.2699  6 S 2.75-2.94
21 Cu 0.0000 0.0000 0.1602  3 S 2.23
22 Cu 0.0000 0.0000 0.6602  3 S 2.23
23 Sn 0.6667 0.3333 0.8366  4 S 2.40-2.42
24 Sn 0.3333 0.6667 0.3366  4 S 2.40-2.42

The calculated density comes out at 5.52 Mg/m³.

---

No. 2
SrAl3Tc | GGA-PBE | relaxed

Lattice parameters (Å, degrees): 5.4521 5.4521 9.3543 73.06 73.06 90.00
Last column: nearest neighbours and their distance in Å.
Element x y z (fractional)
1 Sr 0.9380 0.4380 0.1239  2 Tc 2.92, 4 Al 3.24
2 Sr 0.5620 0.0620 0.8761  2 Tc 2.92, 4 Al 3.24
3 Al 0.1235 0.8670 0.7530  2 Tc 2.53, 3 Al 2.65-2.82
4 Al 0.6199 0.8765 0.2470  2 Tc 2.53, 3 Al 2.65-2.82
5 Al 0.1330 0.8765 0.2470  2 Tc 2.53, 3 Al 2.65-2.82
6 Al 0.2670 0.2670 0.4661  2 Tc 2.74, 2 Al 2.82
7 Al 0.1235 0.3801 0.7530  2 Tc 2.53, 3 Al 2.65-2.82
8 Al 0.7330 0.7330 0.5339  2 Tc 2.74, 2 Al 2.82
9 Tc 0.0000 0.0000 0.0000  4 Al 2.53
10 Tc 0.2500 0.7500 0.5000  8 Al 2.53-2.74

The density of states at the Fermi level is 0.394 states/eV per cell. The calculation puts the formation energy at 0.08 eV per atom. The calculated density comes out at 3.49 Mg/m³. Its relative energy among the computed polymorphs is 399.9 meV/atom.

---

no.,energy (eV/atom)
1,-8.038
2,-4.577